First-principles (GGA-PBE) data for crystalline K2Pb3Cl8 at its relaxed geometry, as listed in Alexandria.

The structure in POSCAR format:
```
K2Pb3Cl8
1.0
7.386 0.000 0.170
0.000 8.740 0.000
-2.786 -4.370 7.230
Cl Pb K
8 3 2
Direct
0.914 0.109 0.218
0.086 0.891 0.782
0.600 0.658 0.769
0.063 0.388 0.777
0.400 0.889 0.231
0.600 0.111 0.769
0.400 0.342 0.231
0.937 0.612 0.223
0.000 0.739 0.000
0.500 0.000 0.000
0.000 0.261 0.000
0.345 0.272 0.543
0.655 0.728 0.457
```

For the uncorrected formation energy, the calculation gives -1.42 eV per atom. The total energy comes out at -46.5 eV per formula unit.

=====

First-principles (GGA-PBE) data for crystalline Sn2Hg2As at its relaxed geometry, as listed in Alexandria.

The structure in POSCAR format:
```
Sn2Hg2As
1.0
7.558 0.000 0.000
0.000 7.558 0.000
0.000 0.000 4.563
Sn Hg As
4 4 2
Direct
0.669 0.831 0.500
0.831 0.331 0.500
0.169 0.669 0.500
0.331 0.169 0.500
0.860 0.640 0.000
0.140 0.360 0.000
0.360 0.860 0.000
0.640 0.140 0.000
0.500 0.500 0.000
0.000 0.000 0.000
```

The formation energy is 0.22 eV per atom. The total energy comes out at -12.2 eV per formula unit. The energy above the most stable polymorph in this dataset comes out at 98.9 kJ/mol of formula units.

=====

First-principles (GGA-PBE) data for crystalline Tb2Pr3ErTe6 at its relaxed geometry, as listed in Alexandria.

The structure in POSCAR format:
```
Tb2Pr3ErTe6
1.0
-4.324 -0.737 -0.131
1.354 -6.951 -5.563
2.543 -3.464 9.024
Te Pr Tb Er
6 3 2 1
Direct
0.669 0.576 0.338
0.338 0.910 0.677
0.662 0.090 0.323
0.003 0.239 0.005
0.997 0.761 0.995
0.331 0.424 0.662
0.500 0.500 0.000
0.831 0.166 0.663
0.169 0.834 0.337
0.832 0.665 0.664
0.168 0.335 0.336
0.500 0.000 0.000
```

For the uncorrected formation energy, the calculation gives -1.36 eV per atom. The total energy comes out at -63.4 eV per formula unit.

=====

First-principles (GGA-PBE) data for crystalline RuAu3 at its relaxed geometry, as listed in Alexandria.

The structure in POSCAR format:
```
RuAu3
1.0
4.947 0.000 0.000
0.000 4.947 0.000
0.000 0.000 2.817
Au Ru
3 1
Direct
0.500 0.000 0.500
0.000 0.000 0.000
0.500 0.500 0.000
0.000 0.500 0.500
```

The formation energy is 0.37 eV per atom. The total energy comes out at -17.6 eV per formula unit.

=====

Number 1: calculated density 3.468 g/cm³. Number 2: calculated density 9.090 g/cm³. Number 3: calculated density 7.466 g/cm³. Number 4: calculated density 16.669 g/cm³.